1.
A plane-wave DFT calculation with PBE-GGA was carried out for an optimized crystal structure of U2Al7Au12.

abc: 4.1945 10.4664 10.4664
angles: 120.00 90.00 90.00
Closest atoms and distances in Å follow each position.
Fractional positions:
U 0.2430 0.3333 0.6667  6 Au 3.20-3.27, 6 Al 3.35-3.39
U 0.7570 0.6667 0.3333  6 Au 3.20-3.27, 6 Al 3.35-3.39
Al 0.5000 0.0000 0.0000  6 Au 2.62
Al 0.2630 0.8976 0.2955  7 Au 2.52-2.79
Al 0.2630 0.3979 0.1024  7 Au 2.52-2.79
Al 0.2630 0.7045 0.6021  7 Au 2.52-2.79
Al 0.7370 0.1024 0.7045  7 Au 2.52-2.79
Al 0.7370 0.6021 0.8976  7 Au 2.52-2.79
Al 0.7370 0.2955 0.3979  7 Au 2.52-2.79
Au 0.2444 0.6268 0.0811  4 Al 2.52-2.79
Au 0.2444 0.4543 0.3732  4 Al 2.52-2.79
Au 0.2444 0.9189 0.5457  4 Al 2.52-2.79
Au 0.7556 0.3732 0.9189  4 Al 2.52-2.79
Au 0.7556 0.5457 0.6268  4 Al 2.52-2.79
Au 0.7556 0.0811 0.4543  4 Al 2.52-2.79
Au 0.2347 0.1304 0.2622  4 Al 2.62-2.64
Au 0.2347 0.1318 0.8696  4 Al 2.62-2.64
Au 0.2347 0.7378 0.8682  4 Al 2.62-2.64
Au 0.7653 0.8696 0.7378  4 Al 2.62-2.64
Au 0.7653 0.8682 0.1304  4 Al 2.62-2.64
Au 0.7653 0.2622 0.1318  4 Al 2.62-2.64

Results
The total magnetization comes out at 0.27 μB/atom. The final energy is -94.6 eV for the cell shown. Its formation energy is -0.311 eV/atom.

***

2.
A plane-wave DFT calculation with PBE-GGA was carried out for an optimized crystal structure of U2Al8Au.

abc: 4.3140 4.3140 11.2656
angles: 90.00 90.00 90.00
Closest atoms and distances in Å follow each position.
Fractional positions:
U 0.0000 0.0000 0.3156  12 Al 2.97-3.05
U 0.0000 0.0000 0.6844  12 Al 2.97-3.05
Al 0.0000 0.5000 0.5000  4 U 3.00, 8 Al 3.03-3.05
Al 0.5000 0.0000 0.5000  4 U 3.00, 8 Al 3.03-3.05
Al 0.5000 0.5000 0.3112  8 Al 2.93-3.03, 4 U 3.05
Al 0.5000 0.5000 0.6888  8 Al 2.93-3.03, 4 U 3.05
Al 0.0000 0.5000 0.1347  2 Au 2.64, 2 Al 2.93
Al 0.5000 0.0000 0.1347  2 Au 2.64, 2 Al 2.93
Al 0.0000 0.5000 0.8653  2 Au 2.64, 2 Al 2.93
Al 0.5000 0.0000 0.8653  2 Au 2.64, 2 Al 2.93
Au 0.0000 0.0000 0.0000  8 Al 2.64

Results
The total magnetization comes out at 0.40 μB/atom. The final energy is -57.8 eV for the cell shown. Its formation energy is -0.186 eV/atom.